Entry 1:
## CeCd2 (PBE)

Data for a relaxed structure of CeCd2.

a b c (Å): 3.255 5.142 5.142
angles (deg): 120.00 90.00 90.00
Atoms (fractional coordinates):
Cd 0.000 0.333 0.667
Cd 0.000 0.667 0.333
Ce 0.500 0.000 0.000

Values from the calculation:
Space group ... P6/mmm
Formation enthalpy at 0 K ... -0.25 eV/atom


Entry 2:
## ZnOsBr3 (PBE)

Data for a relaxed structure of ZnOsBr3.

a b c (Å): 5.171 5.171 5.171
angles (deg): 90.00 90.00 90.00
Atoms (fractional coordinates):
Br 0.000 0.500 0.000
Br 0.000 0.000 0.500
Br 0.500 0.000 0.000
Os 0.500 0.500 0.500
Zn 0.000 0.000 0.000

Values from the calculation:
Space group ... Pm-3m
Formation energy from raw total energies ... 0.96 eV/atom
Distance to the lowest polymorph of the same formula ... 2.31 eV per formula unit


Entry 3:
## TiTc2W (PBE)

Data for a relaxed structure of TiTc2W.

a b c (Å): 4.408 4.408 4.408
angles (deg): 60.00 60.00 60.00
Atoms (fractional coordinates):
Tc 0.250 0.250 0.250
Tc 0.750 0.750 0.750
Ti 0.000 0.000 0.000
W 0.500 0.500 0.500

Values from the calculation:
Space group ... Fm-3m
Distance to the lowest polymorph of the same formula ... 0.00 eV per formula unit
Formation enthalpy at 0 K ... -0.40 eV/atom


Entry 4:
## Sc2AgTe (PBE)

Data for a relaxed structure of Sc2AgTe.

a b c (Å): 3.936 3.936 7.530
angles (deg): 74.79 74.79 60.17
Atoms (fractional coordinates):
Te 0.750 0.750 0.750
Sc 0.997 0.997 0.008
Sc 0.503 0.503 0.492
Ag 0.250 0.250 0.250

Values from the calculation:
Space group ... C2/m
Formation energy from raw total energies ... -0.55 eV/atom